Ho7Ag2Sn2 | PBE | relaxed

Values from the calculation:
Energy relative to the elements in eV per formula unit: -1.2
Spin magnetization in μB/atom: 0.00

Lattice parameters (Å, degrees): 8.2292 11.1622 7.1213 90.00 90.00 90.00
Closest atoms and distances in Å follow each position.
Space group Cmmm (No. 65)
Symmetry-distinct sites (fractional):
Ho 0.0000 0.0000 0.0000 x2  2 Ag 3.20
Ho 0.0000 0.5000 0.2484 x4  2 Ag 2.97, 2 Sn 3.19
Ho 0.2500 0.2500 0.2675 x8  2 Ag 2.83
Ag 0.0000 0.2866 0.0000 x4  6 Ho 2.83-2.97
Sn 0.1796 0.0000 0.5000 x4  1 Sn 2.96, 6 Ho 3.19-3.30

***

HoAgSn | PBE | relaxed

Values from the calculation:
Energy relative to the elements in eV per formula unit: -1.6
Spin magnetization in μB/atom: 0.00

Lattice parameters (Å, degrees): 4.7323 4.7323 7.3345 90.00 90.00 120.00
Closest atoms and distances in Å follow each position.
Space group P-6m2 (No. 187)
Symmetry-distinct sites (fractional):
Ho 0.0000 0.0000 0.0000 x1  6 Ag 3.11, 6 Sn 3.39
Ho 0.0000 0.0000 0.5000 x1  6 Sn 3.20, 6 Ag 3.50
Ag 0.6667 0.3333 0.2016 x2  3 Sn 2.78, 1 Ag 2.96, 3 Ho 3.11
Sn 0.3333 0.6667 0.2739 x2  3 Ag 2.78

***

HoAgSn | PBE | relaxed

Values from the calculation:
Energy relative to the elements in eV per formula unit: -1.6
Spin magnetization in μB/atom: 0.00

Lattice parameters (Å, degrees): 6.7202 6.7202 6.7202 90.00 90.00 90.00
Closest atoms and distances in Å follow each position.
Space group F-43m (No. 216)
Symmetry-distinct sites (fractional):
Ho 0.0000 0.0000 0.0000 x4  4 Ag 2.91
Ag 0.2500 0.2500 0.7500 x4  4 Ho 2.91, 4 Sn 2.91
Sn 0.0000 0.0000 0.5000 x4  4 Ag 2.91

***

HoAg3Sn | PBE | relaxed

Values from the calculation:
Energy relative to the elements in eV per formula unit: -0.7
Spin magnetization in μB/atom: 0.00

Lattice parameters (Å, degrees): 4.6906 27.8573 3.4343 90.00 90.00 90.00
Closest atoms and distances in Å follow each position.
Space group Cmmm (No. 65)
Symmetry-distinct sites (fractional):
Ho 0.0000 0.1739 0.0000 x4  4 Sn 3.20, 6 Ag 3.25-3.27, 2 Ho 3.43
Ag 0.0000 0.0530 0.5000 x4  5 Ag 2.91-2.95, 2 Sn 3.10
Ag 0.0000 0.2739 0.5000 x4  2 Ag 2.70, 1 Sn 2.79
Ag 0.0000 0.4526 0.0000 x4  5 Ag 2.64-2.91, 2 Sn 2.78
Sn 0.0000 0.3742 0.5000 x4  5 Ag 2.78-3.10

***

Ho2AgSn2 | PBE | relaxed

Values from the calculation:
Energy relative to the elements in eV per formula unit: -2.9
Spin magnetization in μB/atom: 0.00

Lattice parameters (Å, degrees): 11.2919 4.5956 10.7910 90.00 116.04 90.00
Closest atoms and distances in Å follow each position.
Space group C2/m (No. 12)
Symmetry-distinct sites (fractional):
Ho 0.0055 0.0000 0.3277 x4  6 Sn 3.14-3.33, 3 Ag 3.23-3.37
Ho 0.1791 0.0000 0.1018 x4  6 Sn 3.11-3.43, 2 Ag 3.33
Ag 0.2109 0.5000 0.3376 x4  4 Sn 2.74-2.94
Sn 0.0409 0.5000 0.8870 x4  1 Ag 2.81, 1 Sn 2.96, 5 Ho 3.11-3.15
Sn 0.1447 0.5000 0.5724 x4  3 Ag 2.74-2.94, 1 Sn 2.94

***

Ho2AgSn | PBE | relaxed

Values from the calculation:
Energy relative to the elements in eV per formula unit: -2.0
Spin magnetization in μB/atom: 0.10

Lattice parameters (Å, degrees): 5.0048 5.0048 4.0072 90.00 90.00 90.00
Closest atoms and distances in Å follow each position.
Space group P4/mmm (No. 123)
Symmetry-distinct sites (fractional):
Ho 0.0000 0.5000 0.0000 x2  4 Sn 3.21, 4 Ag 3.21, 4 Ho 3.54
Ag 0.0000 0.0000 0.5000 x1  8 Ho 3.21, 4 Sn 3.54
Sn 0.5000 0.5000 0.5000 x1  8 Ho 3.21, 4 Ag 3.54

***

Ho3AgSn3 | PBE | relaxed

Values from the calculation:
Energy relative to the elements in eV per formula unit: -4.3
Spin magnetization in μB/atom: 0.00

Lattice parameters (Å, degrees): 11.3280 4.5681 14.7117 90.00 108.53 90.00
Closest atoms and distances in Å follow each position.
Space group C2/m (No. 12)
Symmetry-distinct sites (fractional):
Ho 0.0309 0.0000 0.3817 x4  6 Sn 3.15-3.31, 3 Ag 3.20-3.43
Ho 0.0979 0.0000 0.9221 x4  5 Sn 3.07-3.16
Ho 0.2321 0.0000 0.2243 x4  6 Sn 3.13-3.41, 2 Ag 3.31
Ag 0.2307 0.5000 0.3867 x4  4 Sn 2.74-2.94
Sn 0.0114 0.5000 0.2299 x4  1 Ag 2.80, 1 Sn 2.99
Sn 0.1294 0.5000 0.0748 x4  2 Sn 2.99-3.06, 5 Ho 3.07-3.14
Sn 0.1350 0.5000 0.5508 x4  3 Ag 2.74-2.94, 1 Sn 2.95

***

Ho2AgSn | PBE | relaxed

Values from the calculation:
Energy relative to the elements in eV per formula unit: -2.1
Spin magnetization in μB/atom: 0.00

Lattice parameters (Å, degrees): 6.1551 4.5851 7.8256 90.00 109.56 90.00
Closest atoms and distances in Å follow each position.
Space group P2_1/m (No. 11)
Symmetry-distinct sites (fractional):
Ho 0.1989 0.2500 0.4336 x2  4 Ag 3.06-3.36, 3 Sn 3.16-3.28
Ho 0.2074 0.2500 0.9153 x2  3 Ag 3.08-3.31, 4 Sn 3.13-3.29
Ag 0.3420 0.7500 0.7068 x2  2 Sn 2.97, 6 Ho 3.06-3.31
Sn 0.3322 0.7500 0.2096 x2  2 Ag 2.97, 7 Ho 3.13-3.29

***

Ho3AgSn | PBE | relaxed

Values from the calculation:
Energy relative to the elements in eV per formula unit: -1.6
Spin magnetization in μB/atom: 0.00

Lattice parameters (Å, degrees): 4.5463 6.7829 9.2074 90.00 90.00 90.00
Closest atoms and distances in Å follow each position.
Space group Pmmn (No. 59, origin choice 2)
Symmetry-distinct sites (fractional):
Ho 0.2500 0.0069 0.1863 x4  3 Ag 3.00-3.02, 2 Sn 3.22, 1 Ho 3.30
Ho 0.2500 0.2500 0.5736 x2  2 Sn 3.03, 1 Ag 3.12
Ag 0.2500 0.2500 0.9120 x2  7 Ho 3.00-3.12
Sn 0.2500 0.7500 0.6434 x2  6 Ho 3.03-3.22

***

SrHoAgSn | PBE | relaxed

Values from the calculation:
Energy relative to the elements in eV per formula unit: -1.8
Spin magnetization in μB/atom: 0.00

Lattice parameters (Å, degrees): 7.6539 7.6539 7.6539 90.00 90.00 90.00
Closest atoms and distances in Å follow each position.
Space group F-43m (No. 216)
Symmetry-distinct sites (fractional):
Sr 0.0000 0.0000 0.0000 x4  4 Sn 3.31, 4 Ag 3.31
Ho 0.0000 0.0000 0.5000 x4  4 Ag 3.31, 4 Sn 3.31
Ag 0.2500 0.2500 0.7500 x4  4 Ho 3.31, 4 Sr 3.31
Sn 0.2500 0.2500 0.2500 x4  4 Ho 3.31, 4 Sr 3.31

***

Sr2HoAg3Sn4 | PBE | relaxed

Values from the calculation:
Energy relative to the elements in eV per formula unit: -4.3
Spin magnetization in μB/atom: 0.00

Lattice parameters (Å, degrees): 4.6298 4.6298 12.8802 90.00 90.00 90.00
Closest atoms and distances in Å follow each position.
Space group P-4m2 (No. 115)
Symmetry-distinct sites (fractional):
Sr 0.0000 0.5000 0.2396 x2  4 Ag 3.53, 8 Sn 3.57-3.86
Ho 0.0000 0.0000 0.5000 x1  4 Sn 3.01, 4 Ag 3.27
Ag 0.0000 0.5000 0.8627 x2  5 Sn 2.75-2.91
Ag 0.5000 0.5000 0.5000 x1  4 Sn 3.01, 4 Ho 3.27
Sn 0.0000 0.0000 0.0000 x1  4 Ag 2.91
Sn 0.0000 0.5000 0.6494 x2  3 Ag 2.75-3.01, 2 Ho 3.01
Sn 0.5000 0.5000 0.0000 x1  4 Ag 2.91

***

TbHoAgSn | PBE | relaxed

Values from the calculation:
Energy relative to the elements in eV per formula unit: -2.0
Spin magnetization in μB/atom: 0.05

Lattice parameters (Å, degrees): 7.3974 7.3974 7.3974 90.00 90.00 90.00
Closest atoms and distances in Å follow each position.
Space group F-43m (No. 216)
Symmetry-distinct sites (fractional):
Tb 0.0000 0.0000 0.0000 x4  4 Sn 3.20, 4 Ag 3.20
Ho 0.0000 0.0000 0.5000 x4  4 Sn 3.20, 4 Ag 3.20
Ag 0.2500 0.2500 0.2500 x4  4 Ho 3.20, 4 Tb 3.20
Sn 0.2500 0.2500 0.7500 x4  4 Tb 3.20, 4 Ho 3.20

***

HoAg2SnTe4 | PBE | relaxed

Values from the calculation:
ΔE_f (raw) in eV/atom: -0.482
Spin magnetization in μB/atom: 0.00

Lattice parameters (Å, degrees): 7.3878 4.3544 7.6017 90.00 109.64 90.00
Closest atoms and distances in Å follow each position.
Space group P2/m (No. 10)
Symmetry-distinct sites (fractional):
Ho 0.0000 0.0000 0.0000 x1  6 Te 3.09-3.11
Ag 0.5000 0.0000 0.5000 x1  6 Te 3.02-3.05
Ag 0.5000 0.5000 0.0000 x1  6 Te 3.02-3.04
Sn 0.0000 0.5000 0.5000 x1  6 Te 3.09-3.11
Te 0.2556 0.5000 0.2509 x2  3 Ag 3.04-3.05, 2 Ho 3.09, 1 Sn 3.09
Te 0.2612 0.0000 0.7538 x2  3 Ag 3.02, 1 Ho 3.11, 2 Sn 3.11

***

Ho2Ag3SnTe6 | PBE | relaxed

Values from the calculation:
ΔE_f (raw) in eV/atom: -0.590
Spin magnetization in μB/atom: 0.00

Lattice parameters (Å, degrees): 19.2598 4.3468 8.5080 90.00 101.45 90.00
Closest atoms and distances in Å follow each position.
Space group C2/m (No. 12)
Symmetry-distinct sites (fractional):
Ho 0.1637 0.0000 0.3408 x4  6 Te 3.07-3.12
Ag 0.0000 0.5000 0.5000 x2  6 Te 2.96-3.26
Ag 0.1690 0.0000 0.8435 x4  6 Te 3.00-3.18
Sn 0.0000 0.5000 0.0000 x2  6 Te 3.13-3.14
Te 0.0014 0.0000 0.7367 x4  3 Ag 2.96-3.18, 1 Ho 3.12, 2 Sn 3.13
Te 0.1661 0.5000 0.0844 x4  3 Ag 3.00-3.11, 2 Ho 3.09, 1 Sn 3.14
Te 0.1723 0.5000 0.5996 x4  3 Ag 3.01-3.26, 3 Ho 3.07-3.10

***

HoTh2Ag2Sn2 | PBE | relaxed

Values from the calculation:
Energy relative to the elements in eV per formula unit: -1.3
Spin magnetization in μB/atom: 0.00

Lattice parameters (Å, degrees): 4.8372 4.8372 27.6312 90.00 90.00 120.00
Closest atoms and distances in Å follow each position.
Space group R-3m (No. 166, hexagonal axes)
Symmetry-distinct sites (fractional):
Ho 0.0000 0.0000 0.0000 x3  6 Ag 3.28, 6 Sn 3.35, 2 Th 3.55
Th 0.0000 0.0000 0.1284 x6  3 Sn 3.27, 3 Ag 3.34, 3 Th 3.50, 1 Ho 3.55
Ag 0.0000 0.0000 0.3953 x6  3 Sn 2.80
Sn 0.0000 0.0000 0.2666 x6  3 Ag 2.80

***

HoThAgSn | PBE | relaxed

Values from the calculation:
Energy relative to the elements in eV per formula unit: -1.4
Spin magnetization in μB/atom: 0.00

Lattice parameters (Å, degrees): 7.5083 7.5083 7.5083 90.00 90.00 90.00
Closest atoms and distances in Å follow each position.
Space group F-43m (No. 216)
Symmetry-distinct sites (fractional):
Ho 0.0000 0.0000 0.0000 x4  4 Sn 3.25, 4 Ag 3.25
Th 0.0000 0.0000 0.5000 x4  4 Ag 3.25, 4 Sn 3.25
Ag 0.2500 0.2500 0.7500 x4  4 Th 3.25, 4 Ho 3.25
Sn 0.2500 0.2500 0.2500 x4  4 Th 3.25, 4 Ho 3.25

***

HoTiAgSn | PBE | relaxed

Values from the calculation:
Energy relative to the elements in eV per formula unit: -1.0
Spin magnetization in μB/atom: 0.47

Lattice parameters (Å, degrees): 7.0464 7.0464 7.0464 90.00 90.00 90.00
Closest atoms and distances in Å follow each position.
Space group F-43m (No. 216)
Symmetry-distinct sites (fractional):
Ho 0.0000 0.0000 0.0000 x4  4 Sn 3.05, 4 Ag 3.05
Ti 0.0000 0.0000 0.5000 x4  4 Sn 3.05, 4 Ag 3.05
Ag 0.2500 0.2500 0.2500 x4  4 Ho 3.05, 4 Ti 3.05
Sn 0.2500 0.2500 0.7500 x4  4 Ho 3.05, 4 Ti 3.05

***

HoTlAgSn | PBE | relaxed

Values from the calculation:
Energy relative to the elements in eV per formula unit: -0.7
Spin magnetization in μB/atom: 0.00

Lattice parameters (Å, degrees): 7.3179 7.3179 7.3179 90.00 90.00 90.00
Closest atoms and distances in Å follow each position.
Space group F-43m (No. 216)
Symmetry-distinct sites (fractional):
Ho 0.0000 0.0000 0.0000 x4  4 Tl 3.17, 4 Sn 3.17
Tl 0.2500 0.2500 0.2500 x4  4 Ag 3.17, 4 Ho 3.17
Ag 0.0000 0.0000 0.5000 x4  4 Tl 3.17, 4 Sn 3.17
Sn 0.2500 0.2500 0.7500 x4  4 Ho 3.17, 4 Ag 3.17

***

HoTmAgSn | PBE | relaxed

Values from the calculation:
Energy relative to the elements in eV per formula unit: -2.0
Spin magnetization in μB/atom: 0.01

Lattice parameters (Å, degrees): 7.3366 7.3366 7.3366 90.00 90.00 90.00
Closest atoms and distances in Å follow each position.
Space group F-43m (No. 216)
Symmetry-distinct sites (fractional):
Ho 0.0000 0.0000 0.0000 x4  4 Sn 3.18, 4 Ag 3.18
Tm 0.0000 0.0000 0.5000 x4  4 Sn 3.18, 4 Ag 3.18
Ag 0.2500 0.2500 0.2500 x4  4 Ho 3.18, 4 Tm 3.18
Sn 0.2500 0.2500 0.7500 x4  4 Ho 3.18, 4 Tm 3.18

***

SrHoAg2 | PBE | relaxed

Values from the calculation:
Energy above the lowest structure with this stoichiometry in eV per atom: 0.051
Energy relative to the elements in eV per formula unit: -1.0
Spin magnetization in μB/atom: 0.00

Lattice parameters (Å, degrees): 5.3628 5.3628 3.6626 90.00 90.00 90.00
Closest atoms and distances in Å follow each position.
Space group P4/mmm (No. 123)
Symmetry-distinct sites (fractional):
Sr 0.0000 0.0000 0.0000 x1  8 Ag 3.25
Ho 0.5000 0.5000 0.0000 x1  8 Ag 3.25
Ag 0.0000 0.5000 0.5000 x2  4 Ho 3.25, 4 Sr 3.25